Entry 1:
The following is a DFT calculation (PBE) of a geometry-optimized Ce2TlBr8 structure.

The value obtained for the total energy is -4.0263 eV per atom. As for the space group: No. 12. Its uncorrected formation energy is -1.516 eV per atom. The total moment comes out at 1.0 μB per formula unit. The calculated volume is 348.9 Å³ per cell.

Cell lengths 5.832, 8.093, 8.093 Å; angles 111.62, 95.97, 95.97 degrees
Site moments in Bohr magnetons follow the coordinates.
Fractional coordinates of all 11 atoms:
Br: 0.079 0.328 0.058  -0.02
Br: 0.500 0.255 0.745  -0.01
Br: 0.921 0.672 0.942  -0.02
Br: 0.921 0.942 0.672  -0.02
Br: 0.282 0.601 0.601  -0.02
Br: 0.079 0.058 0.328  -0.02
Br: 0.718 0.399 0.399  -0.02
Br: 0.500 0.745 0.255  -0.01
Ce: 0.000 0.318 0.682  0.57
Ce: 0.000 0.682 0.318  0.57
Tl: 0.500 0.000 0.000  0.00

Entry 2:
The following is a DFT calculation (PBE) of a geometry-optimized La5Sm4Er2 structure.

The value obtained for the total energy is -4.7105 eV per atom. As for the space group: No. 10. The total moment comes out at 0.0 μB per formula unit. For the energy relative to the elements, the calculation gives 0.075 eV/atom. The calculated volume is 383.6 Å³ per cell.

Cell lengths 3.574, 9.063, 11.881 Å; angles 94.61, 90.00, 90.00 degrees
Fractional coordinates of all 11 atoms:
La: 0.000 0.435 0.705
La: 0.000 0.808 0.836
La: 0.000 0.565 0.295
La: 0.000 0.500 0.000
La: 0.000 0.192 0.164
Sm: 0.500 0.723 0.550
Sm: 0.500 0.277 0.450
Sm: 0.500 0.162 0.886
Sm: 0.500 0.838 0.114
Er: 0.000 0.942 0.365
Er: 0.000 0.058 0.635

Entry 3:
The following is a DFT calculation (PBE) of a geometry-optimized CaEu3 structure.

The value obtained for the total energy is -8.1518 eV per atom. As for the space group: No. 225. The total moment comes out at 7.5 μB per formula unit. For the energy relative to the elements, the calculation gives 0.054 eV/atom. The calculated volume is 172.1 Å³ per cell.

Cell lengths 6.243, 6.243, 6.243 Å; angles 60.00, 60.00, 60.00 degrees
Site moments in Bohr magnetons follow the coordinates.
Fractional coordinates of all 4 atoms:
Ca: 0.000 0.000 0.000  -0.03
Eu: 0.750 0.750 0.750  -6.92
Eu: 0.250 0.250 0.250  -6.92
Eu: 0.500 0.500 0.500  6.87

Entry 4:
The following is a DFT calculation (PBE) of a geometry-optimized Tb5Pr4Sc2 structure.

The value obtained for the total energy is -4.6868 eV per atom. As for the space group: No. 71. The total moment comes out at 0.0 μB per formula unit. For the energy relative to the elements, the calculation gives 0.307 eV/atom. The calculated volume is 367.1 Å³ per cell.

Cell lengths 3.476, 9.443, 12.266 Å; angles 112.64, 98.15, 90.00 degrees
Fractional coordinates of all 11 atoms:
Pr: 0.000 0.708 0.000
Pr: 0.599 0.599 0.197
Pr: 0.000 0.292 0.000
Pr: 0.401 0.401 0.803
Tb: 0.500 0.000 0.000
Tb: 0.843 0.635 0.686
Tb: 0.843 0.051 0.686
Tb: 0.157 0.365 0.314
Tb: 0.157 0.949 0.314
Sc: 0.270 0.270 0.540
Sc: 0.730 0.730 0.460

> Which of these has the highest calculated volume?

La5Sm4Er2

> Which of these has the highest calculated volume?

La5Sm4Er2

> What is the total moment in the third record?

7.5 μB per formula unit

> calculated volume of number 4 (Tb5Pr4Sc2)?

367.1 Å³ per cell